(1)
First-principles (PBE-GGA) data for a relaxed structure of Sm4PuTe5, as listed in the Alexandria database.

Summary:
- Formation energy from raw total energies: -1.339 eV per atom
- Offset from the most stable computed form: 0.0 meV per atom
- Total magnetic moment: 0.589 μB/atom

Structure (CIF):
```
data_Sm4PuTe5
_chemical_formula_sum 'Sm8 Pu2 Te10'
_cell_length_a 9.930
_cell_length_b 9.930
_cell_length_c 6.280
_cell_angle_alpha 90.00
_cell_angle_beta 90.00
_cell_angle_gamma 90.00
_symmetry_space_group_name_H-M 'I 4/m'
_symmetry_Int_Tables_number 87
_symmetry_space_group_name_Hall '-I 4'
loop_
_atom_site_label
_atom_site_type_symbol
_atom_site_fract_x
_atom_site_fract_y
_atom_site_fract_z
Sm1 Sm 0.097 0.300 0.000
Pu1 Pu 0.000 0.000 0.500
Te1 Te 0.000 0.000 0.000
Te2 Te 0.099 0.298 0.500
```

(2)
First-principles (PBE-GGA) data for a relaxed structure of Sm4Al7Ga6, as listed in the Alexandria database.

Summary:
- Formation energy from the elements: -7.91 eV per formula unit
- Total magnetic moment: 0.000 μB/atom

Structure (CIF):
```
data_Sm4Al7Ga6
_chemical_formula_sum 'Sm8 Al14 Ga12'
_cell_length_a 8.806
_cell_length_b 8.806
_cell_length_c 8.806
_cell_angle_alpha 90.00
_cell_angle_beta 90.00
_cell_angle_gamma 90.00
_symmetry_space_group_name_H-M 'I m -3 m'
_symmetry_Int_Tables_number 229
_symmetry_space_group_name_Hall '-I 4 2 3'
loop_
_atom_site_label
_atom_site_type_symbol
_atom_site_fract_x
_atom_site_fract_y
_atom_site_fract_z
Sm1 Sm 0.250 0.250 0.250
Al1 Al 0.000 0.000 0.000
Al2 Al 0.000 0.250 0.500
Ga1 Ga 0.000 0.000 0.310
```

(3)
First-principles (PBE-GGA) data for a relaxed structure of Cs2AsPbS4, as listed in the Alexandria database.

Summary:
- Formation energy from raw total energies: -0.537 eV per atom
- Total magnetic moment: 0.031 μB/atom

Structure (CIF):
```
data_Cs2AsPbS4
_chemical_formula_sum 'Cs16 As8 Pb8 S32'
_cell_length_a 6.703
_cell_length_b 14.544
_cell_length_c 25.392
_cell_angle_alpha 90.00
_cell_angle_beta 90.00
_cell_angle_gamma 90.00
_symmetry_space_group_name_H-M 'F d d d'
_symmetry_Int_Tables_number 70
loop_
_symmetry_equiv_pos_as_xyz
'x,y,z'
'-x,-y,-z'
'-x+1/4,-y+1/4,z'
'x+1/4,y+1/4,-z'
'x,-y+1/4,-z+1/4'
'-x,y+1/4,z+1/4'
'-x+1/4,y,-z+1/4'
'x+1/4,-y,z+1/4'
'x,y+1/2,z+1/2'
'-x,-y+1/2,-z+1/2'
'-x+1/4,-y+3/4,z+1/2'
'x+1/4,y+3/4,-z+1/2'
'x,-y+3/4,-z+3/4'
'-x,y+3/4,z+3/4'
'-x+1/4,y+1/2,-z+3/4'
'x+1/4,-y+1/2,z+3/4'
'x+1/2,y,z+1/2'
'-x+1/2,-y,-z+1/2'
'-x+3/4,-y+1/4,z+1/2'
'x+3/4,y+1/4,-z+1/2'
'x+1/2,-y+1/4,-z+3/4'
'-x+1/2,y+1/4,z+3/4'
'-x+3/4,y,-z+3/4'
'x+3/4,-y,z+3/4'
'x+1/2,y+1/2,z'
'-x+1/2,-y+1/2,-z'
'-x+3/4,-y+3/4,z'
'x+3/4,y+3/4,-z'
'x+1/2,-y+3/4,-z+1/4'
'-x+1/2,y+3/4,z+1/4'
'-x+3/4,y+1/2,-z+1/4'
'x+3/4,-y+1/2,z+1/4'
loop_
_atom_site_label
_atom_site_type_symbol
_atom_site_fract_x
_atom_site_fract_y
_atom_site_fract_z
Cs1 Cs 0.125 0.125 0.306
As1 As 0.125 0.125 0.625
Pb1 Pb 0.125 0.125 0.125
S1 S 0.071 0.276 0.823
```

(4)
First-principles (PBE-GGA) data for a relaxed structure of Sr2PuHO6, as listed in the Alexandria database.

Summary:
- Total magnetic moment: 0.099 μB/atom

Structure (CIF):
```
data_Sr2PuHO6
_chemical_formula_sum 'Sr4 Pu2 H2 O12'
_cell_length_a 5.994
_cell_length_b 4.315
_cell_length_c 11.728
_cell_angle_alpha 90.00
_cell_angle_beta 117.04
_cell_angle_gamma 90.00
_symmetry_space_group_name_H-M 'P 1 21/c 1'
_symmetry_Int_Tables_number 14
loop_
_symmetry_equiv_pos_as_xyz
'x,y,z'
'-x,-y,-z'
'-x,y+1/2,-z+1/2'
'x,-y+1/2,z+1/2'
loop_
_atom_site_label
_atom_site_type_symbol
_atom_site_fract_x
_atom_site_fract_y
_atom_site_fract_z
Sr1 Sr 0.169 0.136 0.180
Pu1 Pu 0.500 0.000 0.000
H1 H 0.000 0.000 0.500
O1 O 0.120 0.210 0.469
O2 O 0.258 0.689 0.340
O3 O 0.425 0.746 0.611
```

(5)
First-principles (PBE-GGA) data for a relaxed structure of Ba2CoTeAs, as listed in the Alexandria database.

Summary:
- Formation energy from raw total energies: -0.832 eV per atom
- Total magnetic moment: 0.000 μB/atom

Structure (CIF):
```
data_Ba2CoTeAs
_chemical_formula_sum 'Ba2 Co1 Te1 As1'
_cell_length_a 6.093
_cell_length_b 6.093
_cell_length_c 4.367
_cell_angle_alpha 90.00
_cell_angle_beta 90.00
_cell_angle_gamma 90.00
_symmetry_space_group_name_H-M 'P 4/m m m'
_symmetry_Int_Tables_number 123
_symmetry_space_group_name_Hall '-P 4 2'
loop_
_atom_site_label
_atom_site_type_symbol
_atom_site_fract_x
_atom_site_fract_y
_atom_site_fract_z
Ba1 Ba 0.000 0.500 0.000
Co1 Co 0.000 0.000 0.000
Te1 Te 0.500 0.500 0.500
As1 As 0.000 0.000 0.500
```

(6)
First-principles (PBE-GGA) data for a relaxed structure of InHgPt, as listed in the Alexandria database.

Summary:
- Formation energy from the elements: -0.14 eV per formula unit
- Total magnetic moment: 0.000 μB/atom

Structure (CIF):
```
data_InHgPt
_chemical_formula_sum 'In4 Hg4 Pt4'
_cell_length_a 4.500
_cell_length_b 4.538
_cell_length_c 12.028
_cell_angle_alpha 90.00
_cell_angle_beta 90.00
_cell_angle_gamma 90.00
_symmetry_space_group_name_H-M 'F m m 2'
_symmetry_Int_Tables_number 42
_symmetry_space_group_name_Hall 'F 2 -2'
loop_
_atom_site_label
_atom_site_type_symbol
_atom_site_fract_x
_atom_site_fract_y
_atom_site_fract_z
In1 In 0.000 0.000 0.000
Hg1 Hg 0.000 0.000 0.697
Pt1 Pt 0.000 0.000 0.361
```

(7)
First-principles (PBE-GGA) data for a relaxed structure of LaTh2Pt, as listed in the Alexandria database.

Summary:
- Offset from the most stable computed form: 118.4 meV per atom
- Formation energy from the elements: -1.95 eV per formula unit
- Total magnetic moment: 0.000 μB/atom

Structure (CIF):
```
data_LaTh2Pt
_chemical_formula_sum 'La1 Th2 Pt1'
_cell_length_a 3.731
_cell_length_b 3.731
_cell_length_c 8.257
_cell_angle_alpha 90.00
_cell_angle_beta 90.00
_cell_angle_gamma 90.00
_symmetry_space_group_name_H-M 'P 4/m m m'
_symmetry_Int_Tables_number 123
_symmetry_space_group_name_Hall '-P 4 2'
loop_
_atom_site_label
_atom_site_type_symbol
_atom_site_fract_x
_atom_site_fract_y
_atom_site_fract_z
La1 La 0.000 0.000 0.000
Th1 Th 0.500 0.500 0.298
Pt1 Pt 0.000 0.000 0.500
```

Ρ values, unit g cm⁻³, following the record order: 8.0 5.9 3.6 6.3 5.5 13.8 11.5.
Calculated total energy values, unit eV for the cell shown, following the record order: -124.616 -142.289 -246.935 -147.049 -22.902 -36.887 -27.754.